1.
DFT (PBE) results for FeCu2Os after structural relaxation.

E   -6.3748 eV/atom

Cell and atoms, written as CIF:
```
data_FeCu2Os
_cell_length_a 5.7994
_cell_length_b 5.7994
_cell_length_c 5.7994
_cell_angle_alpha 90.00
_cell_angle_beta 90.00
_cell_angle_gamma 90.00
_space_group_name_H-M_alt 'F m -3 m'
_space_group_IT_number 225
_space_group_name_Hall '-F 4 2 3'
loop_
_atom_site_label
_atom_site_type_symbol
_atom_site_fract_x
_atom_site_fract_y
_atom_site_fract_z
_atom_site_occupancy
Fe1 Fe 0.0000 0.0000 0.0000 1
Cu1 Cu 0.2500 0.2500 0.2500 1
Os1 Os 0.0000 0.0000 0.5000 1
```

2.
DFT (PBE) results for FeCu2Os after structural relaxation.

E   -6.6204 eV/atom

Cell and atoms, written as CIF:
```
data_FeCu2Os
_cell_length_a 2.9673
_cell_length_b 4.1939
_cell_length_c 8.1192
_cell_angle_alpha 90.00
_cell_angle_beta 90.00
_cell_angle_gamma 90.00
_space_group_name_H-M_alt 'I m m 2'
_space_group_IT_number 44
loop_
_space_group_symop_operation_xyz
'x,y,z'
'-x,-y,z'
'-x,y,z'
'x,-y,z'
'x+1/2,y+1/2,z+1/2'
'-x+1/2,-y+1/2,z+1/2'
'-x+1/2,y+1/2,z+1/2'
'x+1/2,-y+1/2,z+1/2'
loop_
_atom_site_label
_atom_site_type_symbol
_atom_site_fract_x
_atom_site_fract_y
_atom_site_fract_z
_atom_site_occupancy
Fe1 Fe 0.0000 0.0000 0.0000 1
Cu1 Cu 0.0000 0.0000 0.4888 1
Cu2 Cu 0.0000 0.5000 0.7476 1
Os1 Os 0.0000 0.5000 0.2534 1
```

3.
DFT (PBE) results for FeCu2Os after structural relaxation.

E   -6.7086 eV/atom

Cell and atoms, written as CIF:
```
data_FeCu2Os
_cell_length_a 2.7712
_cell_length_b 4.3587
_cell_length_c 8.5898
_cell_angle_alpha 90.00
_cell_angle_beta 90.00
_cell_angle_gamma 90.00
_space_group_name_H-M_alt 'C m m 2'
_space_group_IT_number 35
loop_
_space_group_symop_operation_xyz
'x,y,z'
'-x,-y,z'
'-x,y,z'
'x,-y,z'
'x+1/2,y+1/2,z'
'-x+1/2,-y+1/2,z'
'-x+1/2,y+1/2,z'
'x+1/2,-y+1/2,z'
loop_
_atom_site_label
_atom_site_type_symbol
_atom_site_fract_x
_atom_site_fract_y
_atom_site_fract_z
_atom_site_occupancy
Fe1 Fe 0.0000 0.0000 0.0000 1
Cu1 Cu 0.0000 0.0000 0.4861 1
Cu2 Cu 0.0000 0.5000 0.2440 1
Os1 Os 0.0000 0.5000 0.7497 1
```

4.
DFT (PBE) results for FeCu2Os after structural relaxation.

E   -6.7498 eV/atom

Cell and atoms, written as CIF:
```
data_FeCu2Os
_cell_length_a 2.6283
_cell_length_b 3.5886
_cell_length_c 5.2305
_cell_angle_alpha 90.00
_cell_angle_beta 90.00
_cell_angle_gamma 90.00
_space_group_name_H-M_alt 'P m m 2'
_space_group_IT_number 25
loop_
_space_group_symop_operation_xyz
'x,y,z'
'-x,-y,z'
'-x,y,z'
'x,-y,z'
loop_
_atom_site_label
_atom_site_type_symbol
_atom_site_fract_x
_atom_site_fract_y
_atom_site_fract_z
_atom_site_occupancy
Fe1 Fe 0.0000 0.0000 0.0000 1
Cu1 Cu 0.0000 0.0000 0.4931 1
Cu2 Cu 0.5000 0.5000 0.7170 1
Os1 Os 0.5000 0.5000 0.2036 1
```

- What is the E in the fourth record?
  -6.7498 eV/atom

- Which of these has the highest E?
  number 1

- Among the records above, which one has the lowest E?
  number 4